Below is a relaxed structure of AcTb2In2Hg2, with properties calculated at the GGA-PBE level.

Summary:
Electronic total energy, eV per atom: -3.114
Size of the total moment, μB per cell: 0.00
Density of states at the Fermi level, states/eV/atom: 0.571

CIF file:
```
data_AcTb2In2Hg2
_symmetry_space_group_name_H-M 'R -3 m'
_symmetry_Int_Tables_number 166
_symmetry_space_group_name_Hall '-R 3 2"'
_cell_length_a 5.0086
_cell_length_b 5.0086
_cell_length_c 28.1319
_cell_angle_alpha 90.00
_cell_angle_beta 90.00
_cell_angle_gamma 120.00
loop_
_atom_site_label
_atom_site_type_symbol
_atom_site_fract_x
_atom_site_fract_y
_atom_site_fract_z
Ac1 Ac 0.0000 0.0000 0.0000
Tb1 Tb 0.0000 0.0000 0.1343
In1 In 0.0000 0.0000 0.2605
Hg1 Hg 0.0000 0.0000 0.4350
```